ZnCu2Ag | OQMD | PBE | relaxed; space group = Pmmn (59); total DFT energy (no corrections) = -2.88 eV per atom; formation enthalpy at 0 K = -0.1 kcal/mol of atoms
1.0
4.378 0.000 0.000
0.000 5.379 0.000
0.000 0.000 4.719
Zn Cu Ag
2 4 2
Cartesian
0.000 0.000 0.883
2.189 2.689 3.837
0.000 4.030 3.097
2.189 4.039 1.622
0.000 1.349 3.097
2.189 1.340 1.622
0.000 2.689 0.741
2.189 0.000 3.978